1.
A plane-wave DFT calculation with PBE was carried out for an optimized crystal structure of CePmTe2S.

## Properties
* raw formation energy: -1470 meV/atom
* crystal system: tetragonal
* electronic total energy: -5.69 eV per atom
* density of states at the Fermi level: 15.09 states/eV/cell

Unit cell a=4.552 b=4.552 c=15.825 alpha=90.00 beta=90.00 gamma=90.00
Space group P4/nmm (No. 129, origin choice 2)
Inequivalent atoms, fractional coordinates:
Ce: 0.250 0.250 0.114
Pm: 0.250 0.250 0.597
Te: 0.250 0.250 0.301
Te: 0.250 0.250 0.905
S: 0.250 0.750 0.500


2.
A plane-wave DFT calculation with PBE was carried out for an optimized crystal structure of SmAl6Ag12.

## Properties
* crystal system: trigonal
* electronic total energy: -3.25 eV per atom
* density of states at the Fermi level: 8.24 states/eV/cell
* energy relative to the elements: -22 meV per atom

Unit cell a=11.8638 b=11.8638 c=8.9550 alpha=90.00 beta=90.00 gamma=120.00
Space group R-3m (No. 166, hexagonal axes)
Inequivalent atoms, fractional coordinates:
Sm: 0.0000 0.0000 0.0000
Al: 0.0511 0.5255 0.2478
Ag: 0.0000 0.3830 0.5000
Ag: 0.0831 0.1661 0.3049


3.
A plane-wave DFT calculation with PBE was carried out for an optimized crystal structure of YIn.

## Properties
* crystal system: hexagonal
* electronic total energy: -4.89 eV per atom
* density of states at the Fermi level: 4.77 states/eV/cell
* energy relative to the elements: -291 meV per atom

Unit cell a=3.7033 b=3.7033 c=9.8470 alpha=90.00 beta=90.00 gamma=120.00
Space group P6_3/mmc (No. 194)
Inequivalent atoms, fractional coordinates:
Y: 0.0000 0.0000 0.0000
In: 0.3333 0.6667 0.2500


4.
A plane-wave DFT calculation with PBE was carried out for an optimized crystal structure of La2Se.

## Properties
* raw formation energy: -1069 meV/atom
* crystal system: monoclinic
* electronic total energy: -5.52 eV per atom
* density of states at the Fermi level: 14.33 states/eV/cell

Unit cell a=11.409 b=3.817 c=8.736 alpha=90.00 beta=93.80 gamma=90.00
Space group C2/m (No. 12)
Inequivalent atoms, fractional coordinates:
La: 0.121 0.000 0.147
La: 0.134 0.000 0.594
Se: 0.109 0.500 0.867


5.
A plane-wave DFT calculation with PBE was carried out for an optimized crystal structure of NdNb6S8.

## Properties
* raw formation energy: -1070 meV/atom
* crystal system: trigonal
* electronic total energy: -7.62 eV per atom
* density of states at the Fermi level: 27.90 states/eV/cell

Unit cell a=9.2232 b=9.2232 c=12.0369 alpha=90.00 beta=90.00 gamma=120.00
Space group R-3 (No. 148, hexagonal axes)
Inequivalent atoms, fractional coordinates:
Nd: 0.0000 0.0000 0.0000
Nb: 0.0192 0.8324 0.3898
S: 0.0000 0.0000 0.2344
S: 0.0036 0.6320 0.2408


6.
A plane-wave DFT calculation with PBE was carried out for an optimized crystal structure of Pm9Y2Sc.

## Properties
* crystal system: tetragonal
* electronic total energy: -5.14 eV per atom
* density of states at the Fermi level: 19.15 states/eV/cell
* energy relative to the elements: 24 meV per atom

Unit cell a=5.095 b=5.095 c=15.303 alpha=90.00 beta=90.00 gamma=90.00
Space group P4/mmm (No. 123)
Inequivalent atoms, fractional coordinates:
Pm: 0.000 0.000 0.000
Pm: 0.000 0.000 0.331
Pm: 0.000 0.500 0.162
Pm: 0.000 0.500 0.500
Y: 0.500 0.500 0.331
Sc: 0.500 0.500 0.000


7.
A plane-wave DFT calculation with PBE was carried out for an optimized crystal structure of NaPmSc.

## Properties
* crystal system: orthorhombic
* electronic total energy: -3.71 eV per atom
* density of states at the Fermi level: 30.96 states/eV/cell
* energy relative to the elements: 429 meV per atom
* E above lowest polymorph: 250 meV/atom

Unit cell a=6.066 b=11.353 c=11.395 alpha=90.00 beta=90.00 gamma=90.00
Space group Fmmm (No. 69)
Inequivalent atoms, fractional coordinates:
Na: 0.000 0.000 0.146
Pm: 0.000 0.175 0.500
Sc: 0.250 0.250 0.250


8.
A plane-wave DFT calculation with PBE was carried out for an optimized crystal structure of YTcHg3.

## Properties
* crystal system: cubic
* electronic total energy: -3.03 eV per atom
* density of states at the Fermi level: 2.44 states/eV/cell
* energy relative to the elements: 516 meV per atom
* E above lowest polymorph: 0 meV/atom

Unit cell a=5.163 b=5.163 c=5.163 alpha=90.00 beta=90.00 gamma=90.00
Space group Pm-3m (No. 221)
Inequivalent atoms, fractional coordinates:
Y: 0.000 0.000 0.000
Tc: 0.500 0.500 0.500
Hg: 0.000 0.500 0.500